[1]
Material: Sr2LiInSe4
Method: DFT, GGA-PBE
State: optimized geometry

Unit cell a=8.398 b=8.398 c=8.398 alpha=119.34 beta=118.43 gamma=91.95
Positions (direct):
1 Sr 0.000 0.000 0.000
2 Sr 0.500 0.000 0.000
3 Sr 0.500 0.000 0.500
4 Sr 0.500 0.500 0.500
5 Li 0.000 0.500 0.500
6 Li 0.500 0.500 0.000
7 In 0.000 0.000 0.500
8 In 0.000 0.500 0.000
9 Se 0.221 0.737 0.484
10 Se 0.234 0.247 0.513
11 Se 0.234 0.721 0.987
12 Se 0.246 0.263 0.984
13 Se 0.754 0.737 0.016
14 Se 0.766 0.279 0.013
15 Se 0.766 0.753 0.487
16 Se 0.779 0.263 0.516

* formation energy from raw total energies: -1.35 eV per atom

[2]
Material: PmNd4Er7
Method: DFT, GGA-PBE
State: optimized geometry

Unit cell a=6.741 b=6.741 c=12.779 alpha=114.86 beta=114.86 gamma=51.84
Positions (direct):
1 Pm 0.000 0.000 0.000
2 Nd 0.225 0.225 0.668
3 Nd 0.364 0.364 0.223
4 Nd 0.636 0.636 0.777
5 Nd 0.775 0.775 0.332
6 Er 0.069 0.069 0.315
7 Er 0.211 0.211 0.923
8 Er 0.368 0.368 0.504
9 Er 0.500 0.500 0.000
10 Er 0.632 0.632 0.496
11 Er 0.789 0.789 0.077
12 Er 0.931 0.931 0.685

* polymorph energy (0 for the lowest one): 174 meV/atom
* energy relative to the elements: 0.259 eV/atom
* N(E_F): 1.636 states/eV/atom

[3]
Material: Cu2AgBiS
Method: DFT, GGA-PBE
State: optimized geometry

Unit cell a=4.889 b=4.889 c=5.636 alpha=90.00 beta=90.00 gamma=90.00
Positions (direct):
1 Cu 0.000 0.500 0.000
2 Cu 0.500 0.000 0.000
3 Ag 0.000 0.000 0.500
4 Bi 0.500 0.500 0.000
5 S 0.500 0.500 0.500

* formation energy from raw total energies: 0.81 eV per atom
* N(E_F): 0.311 states/eV/atom

[4]
Material: AlCd2
Method: DFT, GGA-PBE
State: optimized geometry

Unit cell a=13.717 b=13.717 c=13.717 alpha=167.08 beta=167.08 gamma=18.31
Positions (direct):
1 Al 0.375 0.625 0.750
2 Al 0.625 0.375 0.250
3 Cd 0.048 0.798 0.250
4 Cd 0.202 0.952 0.250
5 Cd 0.798 0.048 0.750
6 Cd 0.952 0.202 0.750

* energy relative to the elements: 0.120 eV/atom
* N(E_F): 0.461 states/eV/atom

[5]
Material: Cs3RbAu6
Method: DFT, GGA-PBE
State: optimized geometry

Unit cell a=9.721 b=9.721 c=9.721 alpha=103.96 beta=103.96 gamma=103.96
Positions (direct):
1 Cs 0.162 0.750 0.338
2 Cs 0.250 0.662 0.838
3 Cs 0.338 0.162 0.750
4 Cs 0.662 0.838 0.250
5 Cs 0.750 0.338 0.162
6 Cs 0.838 0.250 0.662
7 Rb 0.000 0.000 0.000
8 Rb 0.500 0.500 0.500
9 Au 0.043 0.107 0.436
10 Au 0.064 0.393 0.457
11 Au 0.107 0.436 0.043
12 Au 0.393 0.457 0.064
13 Au 0.436 0.043 0.107
14 Au 0.457 0.064 0.393
15 Au 0.543 0.936 0.607
16 Au 0.564 0.957 0.893
17 Au 0.607 0.543 0.936
18 Au 0.893 0.564 0.957
19 Au 0.936 0.607 0.543
20 Au 0.957 0.893 0.564

* energy relative to the elements: -0.197 eV/atom
* N(E_F): 0.184 states/eV/atom

[6]
Material: TbDy2Y6Er3
Method: DFT, GGA-PBE
State: optimized geometry

Unit cell a=6.144 b=6.144 c=11.765 alpha=94.98 beta=94.98 gamma=119.94
Positions (direct):
1 Tb 0.000 0.000 0.000
2 Dy 0.333 0.667 0.000
3 Dy 0.667 0.333 0.000
4 Y 0.084 0.417 0.251
5 Y 0.249 0.249 0.749
6 Y 0.417 0.084 0.251
7 Y 0.583 0.916 0.749
8 Y 0.751 0.751 0.251
9 Y 0.916 0.583 0.749
10 Er 0.167 0.833 0.500
11 Er 0.500 0.500 0.500
12 Er 0.833 0.167 0.500

* energy relative to the elements: 0.023 eV/atom
* N(E_F): 1.460 states/eV/atom

[7]
Material: Tb2Sm3Dy8
Method: DFT, GGA-PBE
State: optimized geometry

Unit cell a=10.793 b=10.793 c=5.629 alpha=90.03 beta=90.03 gamma=41.63
Positions (direct):
1 Tb 0.241 0.241 0.499
2 Tb 0.759 0.759 0.501
3 Sm 0.000 0.000 0.500
4 Sm 0.290 0.710 0.000
5 Sm 0.710 0.290 0.000
6 Dy 0.134 0.134 0.000
7 Dy 0.182 0.601 0.500
8 Dy 0.330 0.330 0.999
9 Dy 0.399 0.818 0.500
10 Dy 0.601 0.182 0.500
11 Dy 0.670 0.670 0.001
12 Dy 0.818 0.399 0.500
13 Dy 0.866 0.866 0.000

* polymorph energy (0 for the lowest one): 225 meV/atom
* energy relative to the elements: 0.243 eV/atom
* N(E_F): 1.736 states/eV/atom

In order of appearance, E_tot = -32.727, -52.651, -14.984, -5.212, -25.159, -66.029, -57.076 eV/f.u..